Entry 1:
VASP calculation (PBE-GGA) on PrZn7 after structural relaxation.

Output
total DFT energy (no corrections) = -1.93 eV/atom
formation energy from the elements = -21.16 kJ/mol of atoms

a b c (Å): 6.3681 6.3681 4.1215
angles (deg): 108.66 108.66 67.81
Fractional positions:
Pr1 0.0000 0.0000 0.0000
Zn1 0.1780 0.5447 0.3609
Zn2 0.2466 0.2466 0.7466
Zn3 0.4553 0.8220 0.6391
Zn4 0.5000 0.5000 0.0000
Zn5 0.5447 0.1780 0.3609
Zn6 0.7534 0.7534 0.2534
Zn7 0.8220 0.4553 0.6391

---

Entry 2:
VASP calculation (PBE-GGA) on BaTeRuI2 after structural relaxation.

Output
total DFT energy (no corrections) = -4.02 eV/atom
formation energy (no corrections) = -0.53 eV per atom

a b c (Å): 5.5861 5.5861 5.2625
angles (deg): 90.00 90.00 90.00
Fractional positions:
Ba1 0.0000 0.0000 0.0000
Te1 0.5000 0.5000 0.0000
Ru1 0.5000 0.5000 0.5000
I1 0.0000 0.5000 0.5000
I2 0.5000 0.0000 0.5000

---

Please write out number 1 again, unchanged.
VASP calculation (PBE-GGA) on PrZn7 after structural relaxation.

Output
total DFT energy (no corrections) = -1.93 eV/atom
formation energy from the elements = -21.16 kJ/mol of atoms

a b c (Å): 6.3681 6.3681 4.1215
angles (deg): 108.66 108.66 67.81
Fractional positions:
Pr1 0.0000 0.0000 0.0000
Zn1 0.1780 0.5447 0.3609
Zn2 0.2466 0.2466 0.7466
Zn3 0.4553 0.8220 0.6391
Zn4 0.5000 0.5000 0.0000
Zn5 0.5447 0.1780 0.3609
Zn6 0.7534 0.7534 0.2534
Zn7 0.8220 0.4553 0.6391

---

> Which formula does entry 1 have?

PrZn7

---

> Which of these has the highest total DFT energy (no corrections)?

PrZn7

---

> Which of these has the highest total DFT energy (no corrections)?

PrZn7